The following is a DFT calculation (PBE) of Mg3Ga5Pd2 after structural relaxation.

a b c (Å): 8.701 8.701 8.701
angles (deg): 101.76 89.84 143.04
Fractional positions:
Mg 0.225 0.116 0.341
Mg 0.250 0.250 0.000
Mg 0.275 0.616 0.891
Mg 0.725 0.384 0.109
Mg 0.750 0.750 0.000
Mg 0.775 0.884 0.659
Ga 0.151 0.379 0.529
Ga 0.250 0.501 0.251
Ga 0.250 0.750 0.500
Ga 0.250 0.999 0.749
Ga 0.349 0.879 0.228
Ga 0.651 0.121 0.772
Ga 0.750 0.001 0.251
Ga 0.750 0.250 0.500
Ga 0.750 0.499 0.749
Ga 0.849 0.621 0.471
Pd 0.148 0.862 0.010
Pd 0.352 0.362 0.714
Pd 0.648 0.638 0.286
Pd 0.852 0.138 0.990

Summary:
DOS at the Fermi energy, states/eV per cell: 5.93
Total DFT energy (no corrections), eV for the cell shown: -66.94
Mass density, g/cm3: 5.6
SG: Ibam
Energy of formation, eV/atom: -0.32
Volume, Å³ per cell: 373